[1]
First-principles (PBEsol) data for a relaxed structure of Na2TeH2, as listed in Alexandria.

Cell lengths 7.007, 7.007, 4.085 Å; angles 90.00, 90.00, 90.00 degrees
Fractional coordinates of all 10 atoms:
Na 0.232 0.268 0.000
Na 0.268 0.768 0.000
Na 0.732 0.232 0.000
Na 0.768 0.732 0.000
Te 0.000 0.000 0.500
Te 0.500 0.500 0.500
H 0.039 0.539 0.500
H 0.461 0.039 0.500
H 0.539 0.961 0.500
H 0.961 0.461 0.500

Results
Calculated total energy, eV/atom: -2.9848
Crystal system: tetragonal

---

[2]
First-principles (PBEsol) data for a relaxed structure of NaTeH2, as listed in Alexandria.

Cell lengths 7.982, 7.982, 7.982 Å; angles 148.43, 148.43, 45.26 degrees
Fractional coordinates of all 8 atoms:
Na 0.375 0.625 0.750
Na 0.625 0.375 0.250
Te 0.125 0.875 0.250
Te 0.875 0.125 0.750
H 0.000 0.000 0.000
H 0.000 0.000 0.500
H 0.000 0.500 0.000
H 0.500 0.000 0.500

Results
Energy above the lowest structure with this stoichiometry, meV per atom: 0.0
Crystal system: tetragonal

---

[3]
First-principles (PBEsol) data for a relaxed structure of NaTeH3, as listed in Alexandria.

Cell lengths 3.840, 3.840, 3.840 Å; angles 90.00, 90.00, 90.00 degrees
Fractional coordinates of all 5 atoms:
Na 0.000 0.000 0.000
Te 0.500 0.500 0.500
H 0.000 0.000 0.500
H 0.000 0.500 0.000
H 0.500 0.000 0.000

Results
Calculated total energy, eV/atom: -2.2243
Crystal system: cubic

---

[4]
First-principles (PBEsol) data for a relaxed structure of Na2TeH, as listed in Alexandria.

Cell lengths 6.236, 6.236, 6.236 Å; angles 115.14, 115.14, 98.64 degrees
Fractional coordinates of all 8 atoms:
Na 0.001 0.125 0.376
Na 0.375 0.999 0.124
Na 0.749 0.625 0.624
Na 0.875 0.251 0.876
Te 0.250 0.750 0.500
Te 0.500 0.500 0.000
H 0.000 0.000 0.000
H 0.750 0.250 0.500

Results
Calculated total energy, eV/atom: -2.6420
Crystal system: tetragonal

---

[5]
First-principles (PBEsol) data for a relaxed structure of NaTeH2, as listed in Alexandria.

Cell lengths 4.258, 4.258, 4.258 Å; angles 60.00, 60.00, 60.00 degrees
Fractional coordinates of all 4 atoms:
Na 0.000 0.000 0.000
Te 0.500 0.500 0.500
H 0.250 0.250 0.250
H 0.750 0.750 0.750

Results
Energy above the lowest structure with this stoichiometry, meV per atom: 167.1
Crystal system: cubic

---

[6]
First-principles (PBEsol) data for a relaxed structure of Na2TlH2, as listed in Alexandria.

Cell lengths 5.979, 5.979, 5.979 Å; angles 139.75, 139.75, 58.23 degrees
Fractional coordinates of all 5 atoms:
Na 0.174 0.174 0.000
Na 0.826 0.826 0.000
Tl 0.500 0.500 0.000
H 0.250 0.750 0.500
H 0.750 0.250 0.500

Results
Calculated total energy, eV/atom: -2.3013
Crystal system: tetragonal

---

[7]
First-principles (PBEsol) data for a relaxed structure of Na3TlH, as listed in Alexandria.

Cell lengths 4.778, 4.778, 4.778 Å; angles 90.00, 90.00, 90.00 degrees
Fractional coordinates of all 5 atoms:
Na 0.000 0.000 0.500
Na 0.000 0.500 0.000
Na 0.500 0.000 0.000
Tl 0.500 0.500 0.500
H 0.000 0.000 0.000

Results
Calculated total energy, eV/atom: -2.0747
Crystal system: cubic

---

[8]
First-principles (PBEsol) data for a relaxed structure of NaYH3, as listed in Alexandria.

Cell lengths 3.814, 3.814, 3.814 Å; angles 90.00, 90.00, 90.00 degrees
Fractional coordinates of all 5 atoms:
Na 0.000 0.000 0.000
Y 0.500 0.500 0.500
H 0.000 0.000 0.500
H 0.000 0.500 0.000
H 0.500 0.000 0.000

Results
Calculated total energy, eV/atom: -3.6582
Crystal system: cubic

---

[9]
First-principles (PBEsol) data for a relaxed structure of NaZrH2, as listed in Alexandria.

Cell lengths 3.966, 3.966, 3.966 Å; angles 60.00, 60.00, 60.00 degrees
Fractional coordinates of all 4 atoms:
Na 0.000 0.000 0.000
Zr 0.500 0.500 0.500
H 0.250 0.250 0.250
H 0.750 0.750 0.750

Results
Calculated total energy, eV/atom: -3.8764
Crystal system: cubic

---

[10]
First-principles (PBEsol) data for a relaxed structure of NaZrH3, as listed in Alexandria.

Cell lengths 3.912, 3.912, 3.912 Å; angles 90.00, 90.00, 90.00 degrees
Fractional coordinates of all 5 atoms:
Na 0.000 0.000 0.000
Zr 0.500 0.500 0.500
H 0.000 0.500 0.500
H 0.500 0.000 0.500
H 0.500 0.500 0.000

Results
Calculated total energy, eV/atom: -4.1943
Crystal system: cubic

---

[11]
First-principles (PBEsol) data for a relaxed structure of NbH, as listed in Alexandria.

Cell lengths 2.979, 2.979, 4.800 Å; angles 90.00, 90.00, 106.53 degrees
Fractional coordinates of all 4 atoms:
Nb 0.250 0.750 0.768
Nb 0.750 0.250 0.232
H 0.250 0.250 0.500
H 0.750 0.750 0.500

Results
Calculated total energy, eV/atom: -7.2619
Crystal system: orthorhombic

---

[12]
First-principles (PBEsol) data for a relaxed structure of NbH, as listed in Alexandria.

Cell lengths 2.965, 2.965, 4.897 Å; angles 90.00, 90.00, 108.91 degrees
Fractional coordinates of all 4 atoms:
Nb 0.000 0.500 0.000
Nb 0.500 0.000 0.500
H 0.000 0.000 0.250
H 0.000 0.000 0.750

Results
Calculated total energy, eV/atom: -7.3281
Crystal system: orthorhombic